1.
## ZnCrS2 (SCAN)

Data for a PBEsol-optimized structure of ZnCrS2.

Cell: 2.9634 2.9634 8.1931 Å, 79.58 79.58 60.00°
Fractional coordinates of all 4 atoms:
Cr 0.5000 0.5000 0.5000
Zn 0.0000 0.0000 0.0000
S 0.8951 0.8951 0.3147
S 0.1049 0.1049 0.6853

Output
The raw total energy comes out at -13.085 eV/atom. For the raw formation energy, the calculation gives -0.30 eV/atom.

***

2.
## ZnCr3S (SCAN)

Data for a PBEsol-optimized structure of ZnCr3S.

Cell: 4.0867 4.0867 4.0867 Å, 90.00 90.00 90.00°
Fractional coordinates of all 5 atoms:
Cr 0.0000 0.5000 0.0000
Cr 0.0000 0.0000 0.5000
Cr 0.5000 0.0000 0.0000
Zn 0.5000 0.5000 0.5000
S 0.0000 0.0000 0.0000

Output
The raw total energy comes out at -15.193 eV/atom. For the raw formation energy, the calculation gives 0.47 eV/atom.

***

3.
## ZrCr3S (SCAN)

Data for a PBEsol-optimized structure of ZrCr3S.

Cell: 4.7036 4.7036 4.7036 Å, 90.00 90.00 90.00°
Site moments in Bohr magnetons follow the coordinates.
Fractional coordinates of all 5 atoms:
Cr 0.0000 0.5000 0.0000  3.48
Cr 0.0000 0.0000 0.5000  3.48
Cr 0.5000 0.0000 0.0000  3.48
S 0.5000 0.5000 0.5000  -0.14
Zr 0.0000 0.0000 0.0000  -0.54

Output
The raw total energy comes out at -17.407 eV/atom. For the raw formation energy, the calculation gives 1.69 eV/atom.

***

4.
## Cr3Sb (SCAN)

Data for a PBEsol-optimized structure of Cr3Sb.

Cell: 3.1095 4.0986 4.8600 Å, 114.94 108.66 90.00°
Fractional coordinates of all 4 atoms:
Cr 0.7606 0.7606 0.5211
Cr 0.5000 0.0000 0.0000
Cr 0.2394 0.2394 0.4789
Sb 0.0000 0.5000 0.0000

Output
The raw total energy comes out at -22.788 eV/atom. For the raw formation energy, the calculation gives 0.32 eV/atom.

***

5.
## CrSb2 (SCAN)

Data for a PBEsol-optimized structure of CrSb2.

Cell: 3.0919 3.4914 6.4558 Å, 105.69 103.86 90.00°
Site moments in Bohr magnetons follow the coordinates.
Fractional coordinates of all 3 atoms:
Sb 0.3663 0.3663 0.7325  -0.06
Sb 0.6337 0.6337 0.2675  -0.06
Cr 0.0000 0.0000 0.0000  3.31

Output
The raw total energy comes out at -30.860 eV/atom. For the raw formation energy, the calculation gives 0.11 eV/atom.

***

6.
## CrSb2 (SCAN)

Data for a PBEsol-optimized structure of CrSb2.

Cell: 3.1349 6.0398 6.7614 Å, 90.00 90.00 90.00°
Site moments in Bohr magnetons follow the coordinates.
Fractional coordinates of all 6 atoms:
Sb 0.0000 0.1829 0.6421  -0.10
Sb 0.0000 0.8171 0.3579  -0.10
Sb 0.5000 0.3171 0.1421  -0.10
Sb 0.5000 0.6829 0.8579  -0.10
Cr 0.0000 0.0000 0.0000  3.06
Cr 0.5000 0.5000 0.5000  3.06

Output
The raw total energy comes out at -30.988 eV/atom. For the raw formation energy, the calculation gives -0.02 eV/atom.

***

7.
## Cr5Sb (SCAN)

Data for a PBEsol-optimized structure of Cr5Sb.

Cell: 4.7615 4.7615 4.7615 Å, 60.00 60.00 60.00°
Site moments in Bohr magnetons follow the coordinates.
Fractional coordinates of all 6 atoms:
Cr 0.2500 0.2500 0.2500  2.32
Cr 0.6256 0.1232 0.6256  -0.16
Cr 0.6256 0.6256 0.1232  -0.16
Cr 0.6256 0.6256 0.6256  -0.16
Cr 0.1232 0.6256 0.6256  -0.16
Sb 0.0000 0.0000 0.0000  -0.01

Output
The raw total energy comes out at -21.237 eV/atom. For the raw formation energy, the calculation gives 0.29 eV/atom.

***

8.
## ScCrSb2 (SCAN)

Data for a PBEsol-optimized structure of ScCrSb2.

Cell: 3.7710 4.7057 4.7057 Å, 90.00 90.00 90.00°
Site moments in Bohr magnetons follow the coordinates.
Fractional coordinates of all 4 atoms:
Cr 0.5000 0.0000 0.0000  3.89
Sb 0.0000 0.0000 0.5000  -0.05
Sb 0.0000 0.5000 0.0000  -0.05
Sc 0.5000 0.5000 0.5000  0.19

Output
As for the polymorph energy (0 for the lowest one): 0 meV per atom. The raw total energy comes out at -27.116 eV/atom. For the raw formation energy, the calculation gives -0.33 eV/atom.

***

9.
## Sc2CrSb (SCAN)

Data for a PBEsol-optimized structure of Sc2CrSb.

Cell: 3.5900 4.2871 5.6237 Å, 90.00 108.57 90.00°
Site moments in Bohr magnetons follow the coordinates.
Fractional coordinates of all 4 atoms:
Cr 0.2948 0.0000 0.4639  3.48
Sb 0.4496 0.5000 0.7747  -0.02
Sc 0.0276 0.0000 0.9308  -0.18
Sc 0.7281 0.5000 0.3306  -0.13

Output
The raw total energy comes out at -21.487 eV/atom. For the raw formation energy, the calculation gives -0.46 eV/atom.

***

10.
## ScCrSb2 (SCAN)

Data for a PBEsol-optimized structure of ScCrSb2.

Cell: 5.6325 5.6325 8.4111 Å, 109.56 109.56 90.00°
Site moments in Bohr magnetons follow the coordinates.
Fractional coordinates of all 8 atoms:
Sc 0.7500 0.2500 0.5000  -0.06
Sc 0.5000 0.5000 0.0000  -0.06
Sb 0.9154 0.3750 0.2500  -0.20
Sb 0.3346 0.8750 0.2500  -0.20
Sb 0.6250 0.6654 0.7500  -0.20
Sb 0.1250 0.0846 0.7500  -0.20
Cr 0.2500 0.7500 0.5000  3.47
Cr 0.0000 0.0000 0.0000  3.47

Output
As for the polymorph energy (0 for the lowest one): 317 meV per atom. The raw total energy comes out at -26.799 eV/atom. For the raw formation energy, the calculation gives -0.01 eV/atom.

***

11.
## ScCrSb2 (SCAN)

Data for a PBEsol-optimized structure of ScCrSb2.

Cell: 3.4102 3.4102 7.4462 Å, 90.00 90.00 104.72°
Site moments in Bohr magnetons follow the coordinates.
Fractional coordinates of all 4 atoms:
Cr 0.5000 0.5000 0.0000  3.51
Sb 0.0000 0.0000 0.2326  -0.09
Sb 0.0000 0.0000 0.7674  -0.09
Sc 0.5000 0.5000 0.5000  0.08

Output
As for the polymorph energy (0 for the lowest one): 40 meV per atom. The raw total energy comes out at -27.076 eV/atom. For the raw formation energy, the calculation gives -0.29 eV/atom.

***

12.
## ScCrSb2 (SCAN)

Data for a PBEsol-optimized structure of ScCrSb2.

Cell: 3.2293 3.2293 7.2382 Å, 90.00 90.00 90.00°
Site moments in Bohr magnetons follow the coordinates.
Fractional coordinates of all 4 atoms:
Cr 0.5000 0.5000 0.5000  2.71
Sb 0.0000 0.0000 0.7159  -0.10
Sb 0.0000 0.0000 0.2841  -0.10
Sc 0.5000 0.5000 0.0000  0.33

Output
As for the polymorph energy (0 for the lowest one): 235 meV per atom. The raw total energy comes out at -26.881 eV/atom. For the raw formation energy, the calculation gives -0.10 eV/atom.